[1]
Crystalline LiSbOs at its relaxed geometry. Source: Alexandria via LeMat-Bulk, functional PBE-GGA.

a = 4.8619 Å, b = 4.8619 Å, c = 4.8619 Å
α = 140.29°, β = 140.29°, γ = 57.41°
Closest atoms and distances in Å follow each position.
Positions (direct):
Os1 0.3353 0.3353 0.0000  5 Li 2.71-2.90, 5 Sb 2.73-2.85
Sb1 0.6693 0.6693 0.0000  5 Os 2.73-2.85, 5 Li 2.77-2.78
Li1 0.9954 0.9954 0.0000  5 Os 2.71-2.90, 5 Sb 2.77-2.78

***

[2]
Crystalline LiSbOs2 at its relaxed geometry. Source: Alexandria via LeMat-Bulk, functional PBE-GGA.

a = 4.4364 Å, b = 2.8730 Å, c = 5.0227 Å
α = 90.20°, β = 90.00°, γ = 90.00°
Closest atoms and distances in Å follow each position.
Positions (direct):
Li1 0.5000 0.7500 0.7500  4 Os 2.59, 2 Li 2.87, 4 Sb 2.89-2.90
Os1 0.0000 0.0298 0.9650  2 Os 2.51-2.69, 2 Li 2.59, 2 Sb 2.71
Sb1 0.5000 0.2500 0.2500  4 Os 2.71, 2 Sb 2.87, 4 Li 2.89-2.90
Os2 0.0000 0.4702 0.5350  2 Os 2.51-2.69, 2 Li 2.59, 2 Sb 2.71

***

[3]
Crystalline LiSbOs at its relaxed geometry. Source: Alexandria via LeMat-Bulk, functional PBE-GGA.

a = 4.3187 Å, b = 4.3187 Å, c = 4.3187 Å
α = 60.00°, β = 60.00°, γ = 60.00°
Closest atoms and distances in Å follow each position.
Positions (direct):
Sb1 0.0000 0.0000 0.0000  4 Os 2.64
Os1 0.7500 0.7500 0.7500  4 Li 2.64, 4 Sb 2.64
Li1 0.5000 0.5000 0.5000  4 Os 2.64

***

[4]
Crystalline LiSb2Os at its relaxed geometry. Source: Alexandria via LeMat-Bulk, functional PBE-GGA.

a = 9.2030 Å, b = 9.2030 Å, c = 9.2030 Å
α = 20.42°, β = 20.42°, γ = 20.42°
Closest atoms and distances in Å follow each position.
Positions (direct):
Os1 0.7497 0.7497 0.7497  3 Sb 2.64, 3 Li 2.78
Li1 0.4918 0.4918 0.4918  3 Os 2.78, 3 Sb 2.98
Sb1 0.0145 0.0145 0.0145  3 Os 2.64
Sb2 0.2441 0.2441 0.2441  3 Li 2.98, 6 Sb 3.26

Summary:
E above lowest polymorph   40.6 kJ per mole of atoms

***

[5]
Crystalline LiSb2Os at its relaxed geometry. Source: Alexandria via LeMat-Bulk, functional PBE-GGA.

a = 8.7284 Å, b = 8.7284 Å, c = 8.7284 Å
α = 21.81°, β = 21.81°, γ = 21.81°
Closest atoms and distances in Å follow each position.
Positions (direct):
Sb1 0.0064 0.0064 0.0064  3 Os 2.74, 3 Li 2.98
Os1 0.7500 0.7500 0.7500  6 Sb 2.74
Sb2 0.4936 0.4936 0.4936  3 Os 2.74, 3 Li 2.98
Li1 0.2500 0.2500 0.2500  6 Sb 2.98, 6 Li 3.30

Summary:
E above lowest polymorph   8.0 kJ per mole of atoms

***

[6]
Crystalline LiSb2Os at its relaxed geometry. Source: Alexandria via LeMat-Bulk, functional PBE-GGA.

a = 3.2329 Å, b = 5.7283 Å, c = 5.6370 Å
α = 46.77°, β = 90.00°, γ = 90.00°
Closest atoms and distances in Å follow each position.
Positions (direct):
Sb1 0.5000 0.5000 0.0000  4 Os 2.78, 2 Li 2.82
Li1 0.5000 0.5000 0.5000  6 Sb 2.78-2.82
Os1 0.0000 0.0000 0.5000  6 Sb 2.78-2.82
Sb2 0.0000 0.0000 0.0000  4 Li 2.78, 2 Os 2.82

Summary:
E above lowest polymorph   26.0 kJ per mole of atoms

***

[7]
Crystalline Li2SbOs at its relaxed geometry. Source: Alexandria via LeMat-Bulk, functional PBE-GGA.

a = 9.3978 Å, b = 9.3978 Å, c = 9.3978 Å
α = 17.79°, β = 17.79°, γ = 17.79°
Closest atoms and distances in Å follow each position.
Positions (direct):
Li1 0.9939 0.9939 0.9939  3 Os 2.72, 6 Li 2.91, 3 Sb 3.00
Sb1 0.7500 0.7500 0.7500  6 Sb 2.91, 6 Li 3.00
Li2 0.5061 0.5061 0.5061  3 Os 2.72, 6 Li 2.91, 3 Sb 3.00
Os1 0.2500 0.2500 0.2500  6 Li 2.72, 6 Os 2.91

***

[8]
Crystalline LiSb2Os at its relaxed geometry. Source: Alexandria via LeMat-Bulk, functional PBE-GGA.

a = 4.5418 Å, b = 3.3694 Å, c = 5.1741 Å
α = 70.95°, β = 90.00°, γ = 90.00°
Closest atoms and distances in Å follow each position.
Positions (direct):
Li1 0.0000 0.7029 0.4697  7 Sb 2.68-2.90, 2 Os 2.70
Sb1 0.0000 0.9756 0.9226  3 Li 2.68-2.78, 4 Os 2.93
Os1 0.5000 0.5524 0.7694  7 Sb 2.70-2.93, 2 Li 2.70
Sb2 0.5000 0.2691 0.3383  3 Os 2.70-2.78, 4 Li 2.90

Summary:
E above lowest polymorph   12.9 kJ per mole of atoms

***

[9]
Crystalline Li2SbOs at its relaxed geometry. Source: Alexandria via LeMat-Bulk, functional PBE-GGA.

a = 2.8171 Å, b = 2.8171 Å, c = 8.7161 Å
α = 90.00°, β = 90.00°, γ = 90.00°
Closest atoms and distances in Å follow each position.
Positions (direct):
Li1 0.0000 0.0000 0.0249  4 Os 2.80, 4 Li 2.82, 4 Sb 3.12
Sb1 0.5000 0.5000 0.7500  4 Sb 2.82, 8 Li 3.12
Li2 0.0000 0.0000 0.4751  4 Os 2.80, 4 Li 2.82, 4 Sb 3.12
Os1 0.5000 0.5000 0.2500  8 Li 2.80, 4 Os 2.82

***

[10]
Crystalline LiSbOs2 at its relaxed geometry. Source: Alexandria via LeMat-Bulk, functional PBE-GGA.

a = 2.7821 Å, b = 2.7821 Å, c = 9.6963 Å
α = 90.00°, β = 90.00°, γ = 117.56°
Closest atoms and distances in Å follow each position.
Positions (direct):
Li1 0.5000 0.5000 0.7500  4 Os 2.68, 6 Li 2.78-2.88
Sb1 0.5000 0.5000 0.2500  6 Sb 2.78-2.88, 4 Os 2.97
Os1 0.0000 0.0000 0.5174  2 Li 2.68, 6 Os 2.78-2.88, 2 Sb 2.97
Os2 0.0000 0.0000 0.9826  2 Li 2.68, 6 Os 2.78-2.88, 2 Sb 2.97

***

[11]
Crystalline LiSb2Os at its relaxed geometry. Source: Alexandria via LeMat-Bulk, functional PBE-GGA.

a = 6.4856 Å, b = 6.4856 Å, c = 7.3278 Å
α = 63.73°, β = 63.73°, γ = 90.00°
Closest atoms and distances in Å follow each position.
Positions (direct):
Li1 0.5000 0.5000 0.0000  4 Sb 2.89
Sb1 0.0786 0.6250 0.2500  2 Os 2.53
Sb2 0.6714 0.1250 0.2500  2 Os 2.53
Os1 0.0000 0.0000 0.0000  4 Sb 2.53
Sb3 0.8750 0.9214 0.7500  2 Os 2.53
Li2 0.2500 0.7500 0.5000  4 Sb 2.89
Sb4 0.3750 0.3286 0.7500  2 Os 2.53
Os2 0.7500 0.2500 0.5000  4 Sb 2.53

Summary:
E above lowest polymorph   33.7 kJ per mole of atoms

***

[12]
Crystalline LiSbOs2 at its relaxed geometry. Source: Alexandria via LeMat-Bulk, functional PBE-GGA.

a = 3.2176 Å, b = 3.2176 Å, c = 5.7646 Å
α = 90.00°, β = 90.00°, γ = 90.00°
Closest atoms and distances in Å follow each position.
Positions (direct):
Li1 0.5000 0.5000 0.7500  8 Os 2.64, 2 Sb 2.88
Os1 0.0000 0.0000 0.5194  4 Li 2.64, 1 Os 2.66, 4 Sb 2.75
Sb1 0.5000 0.5000 0.2500  8 Os 2.75, 2 Li 2.88
Os2 0.0000 0.0000 0.9806  4 Li 2.64, 1 Os 2.66, 4 Sb 2.75

***

[13]
Crystalline LiSb2Os at its relaxed geometry. Source: Alexandria via LeMat-Bulk, functional PBE-GGA.

a = 5.4622 Å, b = 5.4622 Å, c = 5.4622 Å
α = 136.73°, β = 136.73°, γ = 62.85°
Closest atoms and distances in Å follow each position.
Positions (direct):
Os1 0.7500 0.2500 0.5000  8 Sb 2.85-3.08, 4 Li 3.08
Sb1 0.0000 0.0000 0.0000  4 Li 2.85, 4 Sb 3.08, 4 Os 3.08
Sb2 0.2500 0.7500 0.5000  4 Os 2.85, 4 Sb 3.08, 4 Li 3.08
Li1 0.5000 0.5000 0.0000  8 Sb 2.85-3.08, 4 Os 3.08

Summary:
E above lowest polymorph   31.5 kJ per mole of atoms

***

[14]
Crystalline Li2SbOs at its relaxed geometry. Source: Alexandria via LeMat-Bulk, functional PBE-GGA.

a = 2.8016 Å, b = 4.2974 Å, c = 5.4341 Å
α = 90.00°, β = 90.00°, γ = 90.00°
Closest atoms and distances in Å follow each position.
Positions (direct):
Li1 0.0000 0.0000 0.4729  1 Li 2.42
Sb1 0.5000 0.5000 0.7500  2 Os 2.72, 2 Sb 2.80, 8 Li 2.97
Os1 0.5000 0.5000 0.2500  2 Sb 2.72, 2 Os 2.80, 8 Li 2.84
Li2 0.0000 0.0000 0.0271  1 Li 2.42

***

[15]
Crystalline Li2SbOs at its relaxed geometry. Source: Alexandria via LeMat-Bulk, functional PBE-GGA.

a = 7.4868 Å, b = 7.4868 Å, c = 5.8739 Å
α = 50.41°, β = 50.41°, γ = 90.00°
Closest atoms and distances in Å follow each position.
Positions (direct):
Li1 0.6464 0.1250 0.2500  2 Li 2.57, 2 Os 2.61, 2 Sb 2.84
Li2 0.1036 0.6250 0.2500  2 Li 2.57, 2 Os 2.61, 2 Sb 2.84
Os1 0.0000 0.0000 0.0000  2 Sb 2.54, 4 Li 2.61
Li3 0.8750 0.8964 0.7500  2 Li 2.57, 2 Os 2.61, 2 Sb 2.84
Sb1 0.2500 0.7500 0.5000  2 Os 2.54, 4 Li 2.84
Sb2 0.5000 0.5000 0.0000  2 Os 2.54, 4 Li 2.84
Li4 0.3750 0.3536 0.7500  2 Li 2.57, 2 Os 2.61, 2 Sb 2.84
Os2 0.7500 0.2500 0.5000  2 Sb 2.54, 4 Li 2.61

***

Total moment per entry: 0.00; 0.00; 0.00; 0.00; 0.00; 0.00; 0.50; 0.00; 0.89; 0.00; 0.00; 0.00; 0.00; 0.00; 1.79 μB/cell
DFT total energy per entry: -0.2115; -0.2455; -0.2032; -0.1805; -0.1929; -0.1861; -0.1651; -0.1911; -0.1650; -0.2300; -0.1832; -0.2426; -0.1840; -0.1699; -0.1595 hartree per atom